# 1
Compound: Er4NiB13
Source: Alexandria
Functional: PBEsol
Structure: optimized geometry Values from VASP.

Quantum ESPRESSO input file:
```
&SYSTEM
  ibrav = 0, nat = 36, ntyp = 3
/
ATOMIC_SPECIES
Er 167.26 Er.upf
Ni 58.69 Ni.upf
B 10.81 B.upf
ATOMIC_POSITIONS crystal
Er 0.181 0.315 0.000
Er 0.185 0.319 0.500
Er 0.315 0.819 0.000
Er 0.319 0.815 0.500
Er 0.681 0.185 0.500
Er 0.685 0.181 0.000
Er 0.815 0.681 0.500
Er 0.819 0.685 0.000
Ni 0.000 0.000 0.500
Ni 0.500 0.500 0.000
B 0.000 0.000 0.000
B 0.040 0.829 0.243
B 0.040 0.829 0.757
B 0.091 0.591 0.250
B 0.091 0.591 0.750
B 0.171 0.040 0.243
B 0.171 0.040 0.757
B 0.329 0.540 0.257
B 0.329 0.540 0.743
B 0.409 0.091 0.250
B 0.409 0.091 0.750
B 0.460 0.329 0.257
B 0.460 0.329 0.743
B 0.500 0.500 0.500
B 0.540 0.671 0.257
B 0.540 0.671 0.743
B 0.591 0.909 0.250
B 0.591 0.909 0.750
B 0.671 0.460 0.257
B 0.671 0.460 0.743
B 0.829 0.960 0.243
B 0.829 0.960 0.757
B 0.909 0.409 0.250
B 0.909 0.409 0.750
B 0.960 0.171 0.243
B 0.960 0.171 0.757
CELL_PARAMETERS angstrom
7.238 0.000 0.000
0.000 7.238 0.000
0.000 0.000 6.735
```

Its magnetization is 0.0 μB per cell. The total DFT energy (no corrections) is -7.08 eV per atom. Its space-group type is P4/mnc. The calculation puts the energy relative to the elements at -577 meV per atom. The calculation puts the volume at 9.80 Å³/atom.

=====

# 2
Compound: ErNiB4
Source: Alexandria
Functional: PBEsol
Structure: optimized geometry Values from VASP.

Quantum ESPRESSO input file:
```
&SYSTEM
  ibrav = 0, nat = 24, ntyp = 3
/
ATOMIC_SPECIES
Er 167.26 Er.upf
Ni 58.69 Ni.upf
B 10.81 B.upf
ATOMIC_POSITIONS crystal
Er 0.202 0.202 0.000
Er 0.250 0.750 0.500
Er 0.750 0.250 0.500
Er 0.798 0.798 0.000
Ni 0.272 0.500 0.772
Ni 0.500 0.272 0.772
Ni 0.500 0.728 0.228
Ni 0.728 0.500 0.228
B 0.112 0.276 0.388
B 0.112 0.724 0.835
B 0.115 0.115 0.537
B 0.115 0.579 0.000
B 0.276 0.112 0.388
B 0.276 0.888 0.165
B 0.421 0.421 0.537
B 0.421 0.885 0.000
B 0.579 0.115 0.000
B 0.579 0.579 0.463
B 0.724 0.112 0.835
B 0.724 0.888 0.612
B 0.885 0.421 0.000
B 0.885 0.885 0.463
B 0.888 0.276 0.165
B 0.888 0.724 0.612
CELL_PARAMETERS angstrom
-3.713 3.713 4.214
3.713 -3.713 4.214
3.713 3.713 -4.214
```

Its magnetization is 0.0 μB per cell. The energy above the lowest structure with this stoichiometry comes out at 0.000 eV per atom. The total DFT energy (no corrections) is -7.15 eV per atom. Its space-group type is I4/mmm. The calculation puts the energy relative to the elements at -627 meV per atom. The calculation puts the volume at 9.68 Å³/atom.

=====

# 3
Compound: ErNiB4
Source: Alexandria
Functional: PBEsol
Structure: optimized geometry Values from VASP.

Quantum ESPRESSO input file:
```
&SYSTEM
  ibrav = 0, nat = 24, ntyp = 3
/
ATOMIC_SPECIES
Er 167.26 Er.upf
Ni 58.69 Ni.upf
B 10.81 B.upf
ATOMIC_POSITIONS crystal
Er 0.127 0.150 0.000
Er 0.373 0.650 0.000
Er 0.627 0.350 0.000
Er 0.873 0.850 0.000
Ni 0.134 0.412 0.000
Ni 0.366 0.912 0.000
Ni 0.634 0.088 0.000
Ni 0.866 0.588 0.000
B 0.021 0.692 0.500
B 0.114 0.547 0.500
B 0.137 0.966 0.500
B 0.215 0.815 0.500
B 0.285 0.315 0.500
B 0.363 0.466 0.500
B 0.386 0.047 0.500
B 0.479 0.192 0.500
B 0.521 0.808 0.500
B 0.614 0.953 0.500
B 0.637 0.534 0.500
B 0.715 0.685 0.500
B 0.785 0.185 0.500
B 0.863 0.034 0.500
B 0.886 0.453 0.500
B 0.979 0.308 0.500
CELL_PARAMETERS angstrom
5.846 0.000 0.000
0.000 11.348 0.000
0.000 0.000 3.340
```

Its magnetization is 0.0 μB per cell. The energy above the lowest structure with this stoichiometry comes out at 0.005 eV per atom. The total DFT energy (no corrections) is -7.15 eV per atom. Its space-group type is Pbam. The calculation puts the energy relative to the elements at -622 meV per atom. The calculation puts the volume at 9.23 Å³/atom.

=====

# 4
Compound: Er2Ni3B6
Source: Alexandria
Functional: PBEsol
Structure: optimized geometry Values from VASP.

Quantum ESPRESSO input file:
```
&SYSTEM
  ibrav = 0, nat = 11, ntyp = 3
/
ATOMIC_SPECIES
Er 167.26 Er.upf
Ni 58.69 Ni.upf
B 10.81 B.upf
ATOMIC_POSITIONS crystal
Er 0.224 0.776 0.000
Er 0.776 0.224 0.000
Ni 0.273 0.273 0.000
Ni 0.500 0.500 0.500
Ni 0.727 0.727 0.000
B 0.113 0.113 0.500
B 0.117 0.417 0.500
B 0.417 0.117 0.500
B 0.583 0.883 0.500
B 0.883 0.583 0.500
B 0.887 0.887 0.500
CELL_PARAMETERS angstrom
3.806 -4.280 0.000
3.806 4.280 0.000
0.000 0.000 3.406
```

Its magnetization is 0.0 μB per cell. The total DFT energy (no corrections) is -7.05 eV per atom. Its space-group type is Cmmm. The calculation puts the energy relative to the elements at -648 meV per atom. The calculation puts the volume at 10.09 Å³/atom.

=====

- The highest total DFT energy (no corrections) belongs to which entry?
  Er2Ni3B6